1.
Material: CsNa3Hg
Method: DFT, PBE-GGA
State: optimized geometry

Computed properties:
Its total magnetization is 0.000 Bohr magnetons per cell. The density of states at the Fermi level comes out at 0.543 states/eV per atom. Its space-group type is No. 6. The excess energy over the best structure of this formula in the dataset comes out at 0 meV/atom.

Cell and atoms, written as POSCAR:
```
CsNa3Hg
1.0
5.193 0.000 -0.001
0.000 8.733 2.211
-0.001 0.222 9.532
Na Hg Cs
6 2 2
direct
0.381 0.970 0.935 Na
0.881 0.704 0.871 Na
0.381 0.455 0.771 Na
0.381 0.969 0.302 Na
0.881 0.706 0.504 Na
0.882 0.220 0.035 Na
0.881 0.851 0.150 Hg
0.381 0.824 0.656 Hg
0.381 0.517 0.227 Cs
0.881 0.158 0.580 Cs
```


2.
Material: Cs12NaHg6
Method: DFT, PBE-GGA
State: optimized geometry

Computed properties:
Its total magnetization is 0.000 Bohr magnetons per cell. The density of states at the Fermi level comes out at 0.747 states/eV per atom. Its space-group type is No. 204.

Cell and atoms, written as POSCAR:
```
Cs12NaHg6
1.0
11.895 0.000 0.000
-3.965 11.214 0.000
-3.965 -5.607 9.712
Cs Hg Na
12 6 1
direct
0.304 0.120 0.816 Cs
0.512 0.816 0.696 Cs
0.816 0.696 0.512 Cs
0.304 0.488 0.184 Cs
0.880 0.184 0.696 Cs
0.696 0.880 0.184 Cs
0.488 0.184 0.304 Cs
0.816 0.304 0.120 Cs
0.120 0.816 0.304 Cs
0.184 0.696 0.880 Cs
0.184 0.304 0.488 Cs
0.696 0.512 0.816 Cs
0.500 0.890 0.390 Hg
0.500 0.110 0.610 Hg
0.390 0.500 0.890 Hg
0.110 0.610 0.500 Hg
0.610 0.500 0.110 Hg
0.890 0.390 0.500 Hg
0.000 0.000 0.000 Na
```


3.
Material: Cs2NaHg2
Method: DFT, PBE-GGA
State: optimized geometry

Computed properties:
Its total magnetization is 0.000 Bohr magnetons per cell. The density of states at the Fermi level comes out at 0.457 states/eV per atom. Its space-group type is No. 127. The excess energy over the best structure of this formula in the dataset comes out at 14 meV/atom.

Cell and atoms, written as POSCAR:
```
Cs2NaHg2
1.0
9.276 0.000 0.000
0.000 9.276 0.000
0.000 0.000 5.625
Hg Na Cs
4 2 4
direct
0.378 0.878 0.000 Hg
0.122 0.378 0.000 Hg
0.878 0.622 0.000 Hg
0.622 0.122 0.000 Hg
0.000 0.000 0.000 Na
0.500 0.500 0.000 Na
0.824 0.324 0.500 Cs
0.176 0.676 0.500 Cs
0.324 0.176 0.500 Cs
0.676 0.824 0.500 Cs
```


4.
Material: Cs4Na2Hg
Method: DFT, PBE-GGA
State: optimized geometry

Computed properties:
Its total magnetization is 0.000 Bohr magnetons per cell. The density of states at the Fermi level comes out at 0.776 states/eV per atom. Its space-group type is No. 12. The excess energy over the best structure of this formula in the dataset comes out at 0 meV/atom.

Cell and atoms, written as POSCAR:
```
Cs4Na2Hg
1.0
-4.427 4.425 -3.236
-7.013 -3.847 4.332
5.835 4.316 5.592
Cs Na Hg
4 2 1
direct
0.454 0.732 0.909 Cs
0.163 0.790 0.327 Cs
0.837 0.210 0.673 Cs
0.546 0.268 0.091 Cs
0.194 0.315 0.388 Na
0.806 0.685 0.612 Na
0.000 0.000 0.000 Hg
```


5.
Material: Cs2Na12Hg5
Method: DFT, PBE-GGA
State: optimized geometry

Computed properties:
Its total magnetization is 0.000 Bohr magnetons per cell. The density of states at the Fermi level comes out at 0.511 states/eV per atom. Its space-group type is No. 166.

Cell and atoms, written as POSCAR:
```
Cs2Na12Hg5
1.0
2.017 -0.952 8.571
-7.491 -4.167 2.229
3.272 -8.196 -0.752
Na Hg Cs
12 5 2
direct
0.723 0.277 0.000 Na
0.333 0.333 0.890 Na
0.333 0.890 0.333 Na
0.110 0.667 0.667 Na
0.667 0.667 0.110 Na
0.667 0.110 0.667 Na
0.277 0.000 0.723 Na
0.000 0.723 0.277 Na
0.723 0.000 0.277 Na
0.277 0.723 0.000 Na
0.890 0.333 0.333 Na
0.000 0.277 0.723 Na
0.000 0.000 0.500 Hg
0.500 0.000 0.000 Hg
0.905 0.905 0.905 Hg
0.000 0.500 0.000 Hg
0.095 0.095 0.095 Hg
0.653 0.653 0.653 Cs
0.347 0.347 0.347 Cs
```


6.
Material: Cs7Na2Hg2
Method: DFT, PBE-GGA
State: optimized geometry

Computed properties:
Its total magnetization is 0.000 Bohr magnetons per cell. The density of states at the Fermi level comes out at 0.924 states/eV per atom. Its space-group type is No. 12.

Cell and atoms, written as POSCAR:
```
Cs7Na2Hg2
1.0
9.917 -0.017 0.084
-0.046 8.659 4.012
-0.109 -0.572 9.526
Hg Cs Na
2 7 2
direct
0.000 0.302 0.302 Hg
0.000 0.698 0.698 Hg
0.736 0.000 0.499 Cs
0.736 0.499 0.000 Cs
0.000 0.000 0.000 Cs
0.264 0.501 0.000 Cs
0.761 0.500 0.500 Cs
0.239 0.500 0.500 Cs
0.264 0.000 0.501 Cs
0.500 0.842 0.158 Na
0.500 0.158 0.842 Na
```


7.
Material: Cs2NaHg2
Method: DFT, PBE-GGA
State: optimized geometry

Computed properties:
Its total magnetization is 0.000 Bohr magnetons per cell. The density of states at the Fermi level comes out at 0.495 states/eV per atom. Its space-group type is No. 12. The excess energy over the best structure of this formula in the dataset comes out at 1 meV/atom.

Cell and atoms, written as POSCAR:
```
Cs2NaHg2
1.0
2.781 7.158 0.252
-2.781 7.158 0.252
0.000 7.192 12.139
Cs Hg Na
4 4 2
direct
0.670 0.670 0.323 Cs
0.917 0.917 0.890 Cs
0.083 0.083 0.110 Cs
0.330 0.330 0.677 Cs
0.386 0.386 0.113 Hg
0.614 0.614 0.887 Hg
0.927 0.927 0.441 Hg
0.073 0.073 0.559 Hg
0.344 0.344 0.379 Na
0.656 0.656 0.621 Na
```


8.
Material: Cs6Na3Hg
Method: DFT, PBE-GGA
State: optimized geometry

Computed properties:
Its total magnetization is 0.000 Bohr magnetons per cell. The density of states at the Fermi level comes out at 0.799 states/eV per atom. Its space-group type is No. 14.

Cell and atoms, written as POSCAR:
```
Cs6Na3Hg
1.0
-5.725 -6.335 -1.798
9.309 -8.515 0.358
-2.059 -1.778 12.821
Cs Na Hg
12 6 2
direct
0.416 0.179 0.428 Cs
0.584 0.821 0.572 Cs
0.384 0.165 0.056 Cs
0.084 0.679 0.928 Cs
0.616 0.835 0.944 Cs
0.268 0.353 0.731 Cs
0.884 0.335 0.444 Cs
0.732 0.647 0.269 Cs
0.116 0.665 0.556 Cs
0.768 0.147 0.769 Cs
0.916 0.321 0.072 Cs
0.232 0.853 0.231 Cs
0.500 0.500 0.000 Na
0.000 0.000 0.500 Na
0.699 0.512 0.727 Na
0.301 0.488 0.273 Na
0.801 0.012 0.227 Na
0.199 0.988 0.773 Na
0.500 0.500 0.500 Hg
0.000 0.000 0.000 Hg
```


9.
Material: CsNa4Hg5
Method: DFT, PBE-GGA
State: optimized geometry

Computed properties:
Its total magnetization is 0.000 Bohr magnetons per cell. The density of states at the Fermi level comes out at 0.492 states/eV per atom. Its space-group type is No. 123.

Cell and atoms, written as POSCAR:
```
CsNa4Hg5
1.0
-2.140 -3.198 -1.034
2.985 -2.372 1.159
-7.258 -0.716 17.234
Hg Na Cs
5 4 1
direct
0.500 0.500 0.319 Hg
0.500 0.500 0.500 Hg
0.500 0.500 0.854 Hg
0.500 0.500 0.681 Hg
0.500 0.500 0.146 Hg
0.000 0.000 0.410 Na
0.000 0.000 0.590 Na
0.000 0.000 0.228 Na
0.000 0.000 0.772 Na
0.000 0.000 0.000 Cs
```


10.
Material: CsNa2Hg2
Method: DFT, PBE-GGA
State: optimized geometry

Computed properties:
Its total magnetization is 0.000 Bohr magnetons per cell. The density of states at the Fermi level comes out at 0.491 states/eV per atom. Its space-group type is No. 139. The excess energy over the best structure of this formula in the dataset comes out at 0 meV/atom.

Cell and atoms, written as POSCAR:
```
CsNa2Hg2
1.0
5.194 0.000 0.000
0.000 5.194 0.000
2.597 2.597 7.039
Na Hg Cs
2 2 1
direct
0.750 0.250 0.500 Na
0.250 0.750 0.500 Na
0.611 0.611 0.779 Hg
0.389 0.389 0.221 Hg
0.000 0.000 0.000 Cs
```


11.
Material: CsNa2Hg2
Method: DFT, PBE-GGA
State: optimized geometry

Computed properties:
Its total magnetization is 0.000 Bohr magnetons per cell. The density of states at the Fermi level comes out at 0.460 states/eV per atom. Its space-group type is No. 12. The excess energy over the best structure of this formula in the dataset comes out at 27 meV/atom.

Cell and atoms, written as POSCAR:
```
CsNa2Hg2
1.0
-5.240 1.048 -2.720
1.667 -6.020 1.078
-2.177 2.343 5.096
Hg Na Cs
2 2 1
direct
0.124 0.247 0.714 Hg
0.876 0.753 0.286 Hg
0.238 0.475 0.291 Na
0.762 0.525 0.709 Na
0.500 0.000 0.000 Cs
```


12.
Material: CsNa9Hg2
Method: DFT, PBE-GGA
State: optimized geometry

Computed properties:
Its total magnetization is 0.000 Bohr magnetons per cell. The density of states at the Fermi level comes out at 0.490 states/eV per atom. Its space-group type is No. 141.

Cell and atoms, written as POSCAR:
```
CsNa9Hg2
1.0
-6.979 6.979 4.547
6.979 -6.979 4.547
6.979 6.979 -4.547
Hg Na Cs
4 18 2
direct
0.125 0.875 0.750 Hg
0.125 0.875 0.250 Hg
0.125 0.375 0.250 Hg
0.625 0.875 0.750 Hg
0.376 0.301 0.321 Na
0.271 0.449 0.575 Na
0.699 0.624 0.679 Na
0.376 0.054 0.075 Na
0.304 0.126 0.575 Na
0.874 0.696 0.425 Na
0.979 0.054 0.679 Na
0.874 0.449 0.179 Na
0.000 0.000 0.000 Na
0.250 0.750 0.500 Na
0.979 0.301 0.925 Na
0.304 0.729 0.179 Na
0.699 0.021 0.075 Na
0.271 0.696 0.821 Na
0.946 0.021 0.321 Na
0.551 0.729 0.425 Na
0.551 0.126 0.821 Na
0.946 0.624 0.925 Na
0.500 0.500 0.000 Cs
0.750 0.250 0.500 Cs
```


Number 1: calculated formation energy -10.6 kJ/mol of atoms. Number 2: calculated formation energy -15.1 kJ/mol of atoms. Number 3: calculated formation energy -18.3 kJ/mol of atoms. Number 4: calculated formation energy -4.5 kJ/mol of atoms. Number 5: calculated formation energy -10.7 kJ/mol of atoms. Number 6: calculated formation energy -4.3 kJ/mol of atoms. Number 7: calculated formation energy -19.5 kJ/mol of atoms. Number 8: calculated formation energy -1.7 kJ/mol of atoms. Number 9: calculated formation energy -21.9 kJ/mol of atoms. Number 10: calculated formation energy -18.3 kJ/mol of atoms. Number 11: calculated formation energy -15.7 kJ/mol of atoms. Number 12: calculated formation energy -8.5 kJ/mol of atoms.